(1)
{"formula": "KNiPtF6", "functional": "PBE with a Hubbard U", "state": "optimized geometry", "volume_a3_per_atom": 16.7, "dft_energy_ev_per_atom": -4.21, "cell": [[-0.719, -4.180, -3.439], [-0.118, -5.286, 1.873], [-5.656, 0.476, 0.685]], "species": ["K", "Ni", "Pt", "F", "F", "F", "F", "F", "F"], "frac_coords": [[0.993, 0.003, 0.000], [0.654, 0.673, 0.500], [0.327, 0.336, 0.500], [0.000, 0.359, 0.315], [0.380, 0.970, 0.712], [0.632, 0.363, 0.681], [0.000, 0.641, 0.685], [0.381, 0.649, 0.288], [0.632, 0.005, 0.319]]}

(2)
{"formula": "ZrMoI2F", "functional": "PBE with a Hubbard U", "state": "optimized geometry", "volume_a3_per_atom": 36.3, "dft_energy_ev_per_atom": -3.95, "cell": [[-3.686, -3.917, 1.399], [4.138, -3.645, 0.697], [0.451, 1.591, 5.642]], "species": ["I", "I", "Mo", "Zr", "F"], "frac_coords": [[0.000, 0.500, 0.000], [0.500, 0.000, 0.000], [0.000, 0.000, 0.500], [0.000, 0.000, 0.000], [0.500, 0.500, 0.500]]}

Copy entry 1 word for word.
{"formula": "KNiPtF6", "functional": "PBE with a Hubbard U", "state": "optimized geometry", "volume_a3_per_atom": 16.7, "dft_energy_ev_per_atom": -4.21, "cell": [[-0.719, -4.180, -3.439], [-0.118, -5.286, 1.873], [-5.656, 0.476, 0.685]], "species": ["K", "Ni", "Pt", "F", "F", "F", "F", "F", "F"], "frac_coords": [[0.993, 0.003, 0.000], [0.654, 0.673, 0.500], [0.327, 0.336, 0.500], [0.000, 0.359, 0.315], [0.380, 0.970, 0.712], [0.632, 0.363, 0.681], [0.000, 0.641, 0.685], [0.381, 0.649, 0.288], [0.632, 0.005, 0.319]]}

What did the second record say?
{"formula": "ZrMoI2F", "functional": "PBE with a Hubbard U", "state": "optimized geometry", "volume_a3_per_atom": 36.3, "dft_energy_ev_per_atom": -3.95, "cell": [[-3.686, -3.917, 1.399], [4.138, -3.645, 0.697], [0.451, 1.591, 5.642]], "species": ["I", "I", "Mo", "Zr", "F"], "frac_coords": [[0.000, 0.500, 0.000], [0.500, 0.000, 0.000], [0.000, 0.000, 0.500], [0.000, 0.000, 0.000], [0.500, 0.500, 0.500]]}